# SrW3 (PBE-GGA, relaxed)
data_SrW3
_chemical_formula_sum 'Sr2 W6'
_cell_length_a 6.2423
_cell_length_b 6.2423
_cell_length_c 4.4724
_cell_angle_alpha 90.00
_cell_angle_beta 90.00
_cell_angle_gamma 104.69
_symmetry_space_group_name_H-M 'P 1'
_symmetry_Int_Tables_number 1
loop_
_symmetry_equiv_pos_as_xyz
'x,y,z'
loop_
_atom_site_label
_atom_site_type_symbol
_atom_site_fract_x
_atom_site_fract_y
_atom_site_fract_z
_atom_site_occupancy
Sr1 Sr 0.4169 0.5831 0.2500 1
W1 W 0.3628 0.9553 0.7500 1
W2 W 0.0447 0.6372 0.7500 1
Sr2 Sr 0.5831 0.4169 0.7500 1
W3 W 0.6372 0.0447 0.2500 1
W4 W 0.9553 0.3628 0.2500 1
W5 W 0.0875 0.9125 0.2500 1
W6 W 0.9125 0.0875 0.7500 1
# Space group: Cmcm (63)

# SrW4 (PBE-GGA, relaxed)
data_SrW4
_chemical_formula_sum 'Sr1 W4'
_cell_length_a 4.6653
_cell_length_b 4.6653
_cell_length_c 4.6653
_cell_angle_alpha 90.00
_cell_angle_beta 90.00
_cell_angle_gamma 90.00
_symmetry_space_group_name_H-M 'P 1'
_symmetry_Int_Tables_number 1
loop_
_symmetry_equiv_pos_as_xyz
'x,y,z'
loop_
_atom_site_label
_atom_site_type_symbol
_atom_site_fract_x
_atom_site_fract_y
_atom_site_fract_z
_atom_site_occupancy
W1 W 0.0000 0.5000 0.5000 1
Sr1 Sr 0.5000 0.5000 0.5000 1
W2 W 0.5000 0.0000 0.5000 1
W3 W 0.0000 0.0000 0.0000 1
W4 W 0.5000 0.5000 0.0000 1
# Space group: Pm-3m (221)

# SrW (PBE-GGA, relaxed)
data_SrW
_chemical_formula_sum 'Sr8 W8'
_cell_length_a 9.7335
_cell_length_b 9.7335
_cell_length_c 9.7335
_cell_angle_alpha 90.00
_cell_angle_beta 90.00
_cell_angle_gamma 90.00
_symmetry_space_group_name_H-M 'P 1'
_symmetry_Int_Tables_number 1
loop_
_symmetry_equiv_pos_as_xyz
'x,y,z'
loop_
_atom_site_label
_atom_site_type_symbol
_atom_site_fract_x
_atom_site_fract_y
_atom_site_fract_z
_atom_site_occupancy
W1 W 0.4103 0.5897 0.5897 1
Sr1 Sr 0.7121 0.7121 0.7121 1
Sr2 Sr 0.2879 0.7121 0.2879 1
Sr3 Sr 0.7121 0.2879 0.2879 1
W2 W 0.0897 0.0897 0.9103 1
Sr4 Sr 0.2121 0.2121 0.2121 1
Sr5 Sr 0.7879 0.2121 0.7879 1
W3 W 0.0897 0.9103 0.0897 1
Sr6 Sr 0.7879 0.7879 0.2121 1
W4 W 0.9103 0.0897 0.0897 1
W5 W 0.9103 0.9103 0.9103 1
W6 W 0.4103 0.4103 0.4103 1
W7 W 0.5897 0.5897 0.4103 1
Sr7 Sr 0.2879 0.2879 0.7121 1
W8 W 0.5897 0.4103 0.5897 1
Sr8 Sr 0.2121 0.7879 0.7879 1
# Space group: I-43m (217)

# SrW (PBE-GGA, relaxed)
data_SrW
_chemical_formula_sum 'Sr2 W2'
_cell_length_a 5.7257
_cell_length_b 5.7257
_cell_length_c 4.7340
_cell_angle_alpha 90.00
_cell_angle_beta 90.00
_cell_angle_gamma 120.00
_symmetry_space_group_name_H-M 'P 1'
_symmetry_Int_Tables_number 1
loop_
_symmetry_equiv_pos_as_xyz
'x,y,z'
loop_
_atom_site_label
_atom_site_type_symbol
_atom_site_fract_x
_atom_site_fract_y
_atom_site_fract_z
_atom_site_occupancy
W1 W 0.0000 0.0000 0.0000 1
Sr1 Sr 0.6667 0.3333 0.7500 1
Sr2 Sr 0.3333 0.6667 0.2500 1
W2 W 0.0000 0.0000 0.5000 1
# Space group: P6_3/mmc (194)

# SrW3 (PBE-GGA, relaxed)
data_SrW3
_chemical_formula_sum 'Sr1 W3'
_cell_length_a 2.8387
_cell_length_b 2.8387
_cell_length_c 9.9868
_cell_angle_alpha 90.00
_cell_angle_beta 90.00
_cell_angle_gamma 109.01
_symmetry_space_group_name_H-M 'P 1'
_symmetry_Int_Tables_number 1
loop_
_symmetry_equiv_pos_as_xyz
'x,y,z'
loop_
_atom_site_label
_atom_site_type_symbol
_atom_site_fract_x
_atom_site_fract_y
_atom_site_fract_z
_atom_site_occupancy
W1 W 0.5000 0.5000 0.7145 1
W2 W 0.5000 0.5000 0.2855 1
W3 W 0.0000 0.0000 0.5000 1
Sr1 Sr 0.0000 0.0000 0.0000 1
# Space group: Cmmm (65)

# SrW4 (PBE-GGA, relaxed)
data_SrW4
_chemical_formula_sum 'Sr1 W4'
_cell_length_a 5.1859
_cell_length_b 5.1859
_cell_length_c 5.1859
_cell_angle_alpha 109.47
_cell_angle_beta 109.47
_cell_angle_gamma 109.47
_symmetry_space_group_name_H-M 'P 1'
_symmetry_Int_Tables_number 1
loop_
_symmetry_equiv_pos_as_xyz
'x,y,z'
loop_
_atom_site_label
_atom_site_type_symbol
_atom_site_fract_x
_atom_site_fract_y
_atom_site_fract_z
_atom_site_occupancy
W1 W 0.5000 0.5000 0.5000 1
W2 W 0.0000 0.5000 0.0000 1
Sr1 Sr 0.0000 0.0000 0.0000 1
W3 W 0.5000 0.0000 0.0000 1
W4 W 0.0000 0.0000 0.5000 1
# Space group: Im-3m (229)

no.,DOS(E_F) (states/eV/f.u.),E above lowest polymorph (kJ per mole of atoms),energy of formation from the pure elements (eV per atom)
1,2.31,34.5,1.130
2,4.99,296.2,3.787
3,2.33,100.2,1.562
4,3.54,70.1,1.250
5,2.92,0.0,0.772
6,6.64,249.8,3.307